# 1
A crystal of LiZn2Fe relaxed with PBEsol, computed with SCAN.

extended XYZ file:
```
4
Lattice="2.571 0.000 0.000 0.000 3.610 0.000 0.000 0.000 5.495" Properties=species:S:1:pos:R:3 pbc="T T T"
Li 0.000 0.000 0.000
Zn 1.285 1.805 1.449
Zn 1.285 1.805 4.046
Fe 0.000 0.000 2.747
```

**Crystal system**: orthorhombic
**DFT formation energy**: -0.081 eV/atom

***

# 2
A crystal of Li2ZnFe relaxed with PBEsol, computed with SCAN.

extended XYZ file:
```
4
Lattice="3.519 0.000 0.000 0.000 3.519 0.000 0.000 0.000 4.198" Properties=species:S:1:pos:R:3 pbc="T T T"
Li 0.000 1.760 0.000
Li 1.760 0.000 0.000
Zn 0.000 0.000 2.099
Fe 1.760 1.760 2.099
```

**Crystal system**: tetragonal
**DFT formation energy**: 0.099 eV/atom

***

# 3
A crystal of LiZn2Fe relaxed with PBEsol, computed with SCAN.

extended XYZ file:
```
4
Lattice="1.294 0.747 8.926 -1.294 0.747 8.926 0.000 -1.494 8.926" Properties=species:S:1:pos:R:3 pbc="T T T"
Li 0.000 0.000 0.000
Zn 0.000 0.000 13.566
Zn 0.000 0.000 20.165
Fe 0.000 0.000 6.752
```

**Crystal system**: trigonal
**DFT formation energy**: 0.039 eV/atom

***

# 4
A crystal of LiZnFe2 relaxed with PBEsol, computed with SCAN.

extended XYZ file:
```
4
Lattice="2.422 0.000 0.000 0.000 4.240 0.000 -0.649 0.000 4.501" Properties=species:S:1:pos:R:3 pbc="T T T"
Li 0.000 0.000 0.000
Zn 0.886 0.000 2.250
Fe 0.066 2.120 3.381
Fe 1.707 2.120 1.119
```

**Crystal system**: monoclinic
**DFT formation energy**: 0.106 eV/atom

***

# 5
A crystal of LiZnFe2 relaxed with PBEsol, computed with SCAN.

extended XYZ file:
```
4
Lattice="1.421 -2.019 0.000 1.421 2.019 0.000 0.000 0.000 8.451" Properties=species:S:1:pos:R:3 pbc="T T T"
Li 0.000 0.000 0.000
Zn 1.421 0.000 6.203
Fe 0.000 0.000 4.098
Fe 1.421 0.000 2.168
```

**Crystal system**: orthorhombic
**DFT formation energy**: 0.022 eV/atom

***

# 6
A crystal of Li2ZnFe relaxed with PBEsol, computed with SCAN.

extended XYZ file:
```
4
Lattice="2.467 0.000 0.000 0.000 2.467 0.000 0.000 0.000 8.550" Properties=species:S:1:pos:R:3 pbc="T T T"
Li 0.000 0.000 2.081
Li 0.000 0.000 6.469
Zn 1.234 1.234 4.275
Fe 1.234 1.234 0.000
```

**Crystal system**: tetragonal
**DFT formation energy**: 0.123 eV/atom